Entry 1:
Ac3Tb12Nd | PBE | optimized geometry

Calculated values
Space-group type = P4/mmm, No. 123

Unit cell a=5.1580 b=5.1580 c=20.6338 alpha=90.00 beta=90.00 gamma=90.00
Closest atoms and distances in Å follow each position.
Fractional positions:
Ac (0.0000, 0.0000, 0.0000)  12 Tb 3.65-3.67
Ac (0.0000, 0.0000, 0.2517)  12 Tb 3.65-3.68
Ac (0.0000, 0.0000, 0.7483)  12 Tb 3.65-3.68
Tb (0.0000, 0.5000, 0.1262)  8 Tb 3.65-3.67, 4 Ac 3.65-3.67
Tb (0.0000, 0.5000, 0.3792)  8 Tb 3.59-3.67, 2 Nd 3.59, 2 Ac 3.68
Tb (0.0000, 0.5000, 0.6208)  8 Tb 3.59-3.67, 2 Nd 3.59, 2 Ac 3.68
Tb (0.0000, 0.5000, 0.8738)  8 Tb 3.65-3.67, 4 Ac 3.65-3.67
Tb (0.5000, 0.0000, 0.1262)  8 Tb 3.65-3.67, 4 Ac 3.65-3.67
Tb (0.5000, 0.0000, 0.3792)  8 Tb 3.59-3.67, 2 Nd 3.59, 2 Ac 3.68
Tb (0.5000, 0.0000, 0.6208)  8 Tb 3.59-3.67, 2 Nd 3.59, 2 Ac 3.68
Tb (0.5000, 0.0000, 0.8738)  8 Tb 3.65-3.67, 4 Ac 3.65-3.67
Tb (0.5000, 0.5000, 0.0000)  4 Ac 3.65, 8 Tb 3.67
Tb (0.5000, 0.5000, 0.2527)  4 Ac 3.65, 8 Tb 3.67
Tb (0.5000, 0.5000, 0.5000)  8 Tb 3.59, 4 Nd 3.65
Tb (0.5000, 0.5000, 0.7473)  4 Ac 3.65, 8 Tb 3.67
Nd (0.0000, 0.0000, 0.5000)  12 Tb 3.59-3.65

---

Entry 2:
AcTbNd2 | PBE | optimized geometry

Calculated values
Space-group type = R-3m, No. 166
E above lowest polymorph = 0.193 eV/atom

Unit cell a=13.0053 b=13.0053 c=13.0053 alpha=16.16 beta=16.16 gamma=16.16
Closest atoms and distances in Å follow each position.
Fractional positions:
Ac (0.0000, 0.0000, 0.0000)  6 Ac 3.66, 6 Nd 3.73
Tb (0.5000, 0.5000, 0.5000)  2 Nd 3.35, 6 Tb 3.66
Nd (0.4131, 0.4131, 0.4131)  1 Tb 3.35, 6 Nd 3.66, 3 Ac 3.73
Nd (0.5869, 0.5869, 0.5869)  1 Tb 3.35, 6 Nd 3.66, 3 Ac 3.73

---

Entry 3:
Ac4TbNd | PBE | optimized geometry

Calculated values
Space-group type = Cmmm, No. 65
E above lowest polymorph = 0.000 eV/atom

Unit cell a=8.5517 b=8.5517 c=5.5043 alpha=90.00 beta=90.00 gamma=142.15
Closest atoms and distances in Å follow each position.
Fractional positions:
Ac (0.1607, 0.8393, 0.0000)  2 Tb 3.79, 2 Nd 3.80, 8 Ac 3.91-4.01
Ac (0.3387, 0.6613, 0.5000)  2 Nd 3.79, 2 Tb 3.81, 8 Ac 3.91-3.99
Ac (0.6613, 0.3387, 0.5000)  2 Nd 3.79, 2 Tb 3.81, 8 Ac 3.91-3.99
Ac (0.8393, 0.1607, 0.0000)  2 Tb 3.79, 2 Nd 3.80, 8 Ac 3.91-4.01
Tb (0.0000, 0.0000, 0.5000)  8 Ac 3.79-3.81, 4 Nd 3.91
Nd (0.5000, 0.5000, 0.0000)  8 Ac 3.79-3.80, 4 Tb 3.91

---

Entry 4:
AcTbNd2 | PBE | optimized geometry

Calculated values
Space-group type = Fm-3m, No. 225
E above lowest polymorph = 0.130 eV/atom

Unit cell a=5.9353 b=5.9353 c=5.9353 alpha=60.00 beta=60.00 gamma=60.00
Closest atoms and distances in Å follow each position.
Fractional positions:
Ac (0.0000, 0.0000, 0.0000)  8 Nd 3.63
Tb (0.5000, 0.5000, 0.5000)  8 Nd 3.63
Nd (0.2500, 0.2500, 0.2500)  4 Tb 3.63, 4 Ac 3.63
Nd (0.7500, 0.7500, 0.7500)  4 Ac 3.63, 4 Tb 3.63

---

Entry 5:
Ac3TbNd6 | PBE | optimized geometry

Calculated values
Space-group type = R3, No. 146

Unit cell a=7.3174 b=7.3174 c=7.3174 alpha=88.68 beta=88.68 gamma=88.68
Closest atoms and distances in Å follow each position.
Fractional positions:
Ac (0.0000, 0.0000, 0.0000)  1 Tb 3.13, 1 Ac 3.35, 3 Nd 3.44
Ac (0.2582, 0.2582, 0.2582)  2 Ac 3.34-3.35, 6 Nd 3.64
Ac (0.5161, 0.5161, 0.5161)  1 Tb 3.14, 1 Ac 3.34, 3 Nd 3.44
Tb (0.7582, 0.7582, 0.7582)  2 Ac 3.13-3.14, 6 Nd 3.49-3.50
Nd (0.0077, 0.6819, 0.3530)  2 Ac 3.44-3.64, 1 Tb 3.50
Nd (0.1626, 0.5074, 0.8337)  2 Ac 3.44-3.64, 1 Tb 3.49
Nd (0.3530, 0.0077, 0.6819)  2 Ac 3.44-3.64, 1 Tb 3.50
Nd (0.5074, 0.8337, 0.1626)  2 Ac 3.44-3.64, 1 Tb 3.49
Nd (0.6819, 0.3530, 0.0077)  2 Ac 3.44-3.64, 1 Tb 3.50
Nd (0.8337, 0.1626, 0.5074)  2 Ac 3.44-3.64, 1 Tb 3.49

---

Entry 6:
Ac2Tb5Nd4 | PBE | optimized geometry

Calculated values
Space-group type = C2/m, No. 12
E above lowest polymorph = 0.000 eV/atom

Unit cell a=9.4323 b=9.4323 c=11.9300 alpha=90.25 beta=90.25 gamma=21.93
Closest atoms and distances in Å follow each position.
Fractional positions:
Ac (0.0985, 0.0985, 0.0433)  4 Tb 3.57-3.74, 3 Ac 3.59-3.79, 2 Nd 3.63-3.78
Ac (0.9015, 0.9015, 0.9567)  4 Tb 3.57-3.74, 3 Ac 3.59-3.79, 2 Nd 3.63-3.78
Tb (0.1319, 0.1319, 0.3379)  4 Nd 3.49-3.61, 1 Ac 3.57, 6 Tb 3.59-3.66
Tb (0.2407, 0.2407, 0.8410)  3 Ac 3.58-3.74, 4 Tb 3.59-3.66, 3 Nd 3.63-3.66
Tb (0.5000, 0.5000, 0.5000)  6 Nd 3.59, 6 Tb 3.59-3.60
Tb (0.7593, 0.7593, 0.1590)  3 Ac 3.58-3.74, 4 Tb 3.59-3.66, 3 Nd 3.63-3.66
Tb (0.8681, 0.8681, 0.6621)  4 Nd 3.49-3.61, 1 Ac 3.57, 6 Tb 3.59-3.66
Nd (0.0541, 0.0541, 0.7469)  4 Nd 3.58-3.59, 4 Tb 3.59-3.63, 2 Ac 3.63-3.78
Nd (0.3143, 0.3143, 0.4129)  6 Tb 3.49-3.66, 6 Nd 3.58-3.64
Nd (0.6857, 0.6857, 0.5871)  6 Tb 3.49-3.66, 6 Nd 3.58-3.64
Nd (0.9459, 0.9459, 0.2531)  4 Nd 3.58-3.59, 4 Tb 3.59-3.63, 2 Ac 3.63-3.78

---

Entry 7:
Ac3Tb2Nd6 | PBE | optimized geometry

Calculated values
Space-group type = R-3m, No. 166

Unit cell a=33.4891 b=33.4891 c=33.4891 alpha=6.43 beta=6.43 gamma=6.43
Closest atoms and distances in Å follow each position.
Fractional positions:
Ac (0.0000, 0.0000, 0.0000)  6 Ac 3.76, 6 Nd 3.81
Ac (0.2709, 0.2709, 0.2709)  6 Ac 3.76, 6 Nd 3.81-3.83
Ac (0.7291, 0.7291, 0.7291)  6 Ac 3.76, 6 Nd 3.81-3.83
Tb (0.4561, 0.4561, 0.4561)  6 Nd 3.62-3.63, 6 Tb 3.76
Tb (0.5439, 0.5439, 0.5439)  6 Nd 3.62-3.63, 6 Tb 3.76
Nd (0.0938, 0.0938, 0.0938)  3 Tb 3.62, 6 Nd 3.76, 3 Ac 3.83
Nd (0.1816, 0.1816, 0.1816)  3 Tb 3.63, 9 Nd 3.70-3.76
Nd (0.3645, 0.3645, 0.3645)  6 Nd 3.76, 6 Ac 3.81
Nd (0.6355, 0.6355, 0.6355)  6 Nd 3.76, 6 Ac 3.81
Nd (0.8184, 0.8184, 0.8184)  3 Tb 3.63, 9 Nd 3.70-3.76
Nd (0.9062, 0.9062, 0.9062)  3 Tb 3.62, 6 Nd 3.76, 3 Ac 3.83

---

Entry 8:
AcTb10Nd4 | PBE | optimized geometry

Calculated values
Space-group type = I4/m, No. 87

Unit cell a=9.6888 b=9.6888 c=9.6888 alpha=96.95 beta=96.95 gamma=139.28
Closest atoms and distances in Å follow each position.
Fractional positions:
Ac (0.0000, 0.0000, 0.0000)  8 Nd 4.17, 8 Tb 4.47
Tb (0.0445, 0.8803, 0.4256)  4 Tb 3.12-3.38, 3 Nd 3.39-3.46
Tb (0.1197, 0.5452, 0.1642)  4 Tb 3.12-3.38, 3 Nd 3.39-3.46
Tb (0.2500, 0.7500, 0.5000)  6 Tb 3.12-3.37
Tb (0.3810, 0.9555, 0.8358)  4 Tb 3.12-3.38, 3 Nd 3.39-3.46
Tb (0.4548, 0.6190, 0.5744)  4 Tb 3.12-3.38, 3 Nd 3.39-3.46
Tb (0.5452, 0.3810, 0.4256)  4 Tb 3.12-3.38, 3 Nd 3.39-3.46
Tb (0.6190, 0.0445, 0.1642)  4 Tb 3.12-3.38, 3 Nd 3.39-3.46
Tb (0.7500, 0.2500, 0.5000)  6 Tb 3.12-3.37
Tb (0.8803, 0.4548, 0.8358)  4 Tb 3.12-3.38, 3 Nd 3.39-3.46
Tb (0.9555, 0.1197, 0.5744)  4 Tb 3.12-3.38, 3 Nd 3.39-3.46
Nd (0.3208, 0.5670, 0.8877)  6 Tb 3.39-3.46, 2 Nd 3.48
Nd (0.4330, 0.3208, 0.7538)  6 Tb 3.39-3.46, 2 Nd 3.48
Nd (0.5670, 0.6792, 0.2462)  6 Tb 3.39-3.46, 2 Nd 3.48
Nd (0.6792, 0.4330, 0.1123)  6 Tb 3.39-3.46, 2 Nd 3.48

---

Entry 9:
Ac2Tb4Nd3 | PBE | optimized geometry

Calculated values
Space-group type = P3m1, No. 156
E above lowest polymorph = 0.046 eV/atom

Unit cell a=3.7164 b=3.7164 c=27.3320 alpha=90.00 beta=90.00 gamma=120.00
Closest atoms and distances in Å follow each position.
Fractional positions:
Ac (0.0000, 0.0000, 0.0000)  6 Ac 3.72, 3 Tb 3.74, 3 Nd 3.89
Ac (0.0000, 0.0000, 0.2324)  1 Tb 3.56, 6 Ac 3.72, 3 Nd 3.78
Tb (0.0000, 0.0000, 0.3626)  3 Nd 3.55, 1 Ac 3.56, 6 Tb 3.72
Tb (0.0000, 0.0000, 0.5740)  9 Tb 3.50-3.72, 3 Nd 3.65
Tb (0.3333, 0.6667, 0.6754)  9 Tb 3.50-3.72, 3 Nd 3.62
Tb (0.3333, 0.6667, 0.8879)  3 Nd 3.60, 6 Tb 3.72, 3 Ac 3.74
Nd (0.0000, 0.0000, 0.7822)  6 Tb 3.60-3.62, 6 Nd 3.72
Nd (0.3333, 0.6667, 0.1186)  6 Nd 3.72, 6 Ac 3.78-3.89
Nd (0.3333, 0.6667, 0.4659)  6 Tb 3.55-3.65, 6 Nd 3.72

---

Entry 10:
AcTb2Nd | PBE | optimized geometry

Calculated values
Space-group type = R-3m, No. 166
E above lowest polymorph = 0.000 eV/atom

Unit cell a=12.0382 b=12.0382 c=12.0382 alpha=17.81 beta=17.81 gamma=17.81
Closest atoms and distances in Å follow each position.
Fractional positions:
Ac (0.0000, 0.0000, 0.0000)  6 Tb 3.72, 6 Ac 3.73
Tb (0.2480, 0.2480, 0.2480)  3 Nd 3.60, 3 Ac 3.72, 6 Tb 3.73
Tb (0.7520, 0.7520, 0.7520)  3 Nd 3.60, 3 Ac 3.72, 6 Tb 3.73
Nd (0.5000, 0.5000, 0.5000)  6 Tb 3.60, 6 Nd 3.73

---

Entry 11:
Ac3TbNd3 | PBE | optimized geometry

Calculated values
Space-group type = Pnma, No. 62

Unit cell a=13.9331 b=5.6746 c=14.1415 alpha=90.00 beta=90.00 gamma=90.00
Closest atoms and distances in Å follow each position.
Fractional positions:
Ac (0.0898, 0.2500, 0.0603)  5 Nd 3.43-3.65, 1 Tb 3.56
Ac (0.0945, 0.2500, 0.5584)  6 Nd 3.56-3.83, 1 Tb 3.67
Ac (0.1870, 0.7500, 0.3628)  6 Nd 3.61-3.94, 1 Tb 3.81
Ac (0.3130, 0.2500, 0.8628)  6 Nd 3.61-3.94, 1 Tb 3.81
Ac (0.4055, 0.7500, 0.0584)  6 Nd 3.56-3.83, 1 Tb 3.67
Ac (0.4102, 0.7500, 0.5603)  5 Nd 3.43-3.65, 1 Tb 3.56
Ac (0.5898, 0.2500, 0.4397)  5 Nd 3.43-3.65, 1 Tb 3.56
Ac (0.5945, 0.2500, 0.9416)  6 Nd 3.56-3.83, 1 Tb 3.67
Ac (0.6870, 0.7500, 0.1372)  6 Nd 3.61-3.94, 1 Tb 3.81
Ac (0.8130, 0.2500, 0.6372)  6 Nd 3.61-3.94, 1 Tb 3.81
Ac (0.9055, 0.7500, 0.4416)  6 Nd 3.56-3.83, 1 Tb 3.67
Ac (0.9102, 0.7500, 0.9397)  5 Nd 3.43-3.65, 1 Tb 3.56
Tb (0.0445, 0.2500, 0.8128)  4 Nd 3.53-3.71, 5 Ac 3.56-3.84
Tb (0.4555, 0.7500, 0.3128)  4 Nd 3.53-3.71, 5 Ac 3.56-3.84
Tb (0.5445, 0.2500, 0.6872)  4 Nd 3.53-3.71, 5 Ac 3.56-3.84
Tb (0.9555, 0.7500, 0.1872)  4 Nd 3.53-3.71, 5 Ac 3.56-3.84
Nd (0.0354, 0.2500, 0.3131)  1 Nd 3.40, 2 Tb 3.53, 4 Ac 3.56-3.65
Nd (0.1644, 0.7500, 0.9345)  1 Nd 3.38, 5 Ac 3.51-3.66, 2 Tb 3.71
Nd (0.2086, 0.7500, 0.6993)  2 Nd 3.38-3.40, 1 Ac 3.43
Nd (0.2914, 0.2500, 0.1993)  2 Nd 3.38-3.40, 1 Ac 3.43
Nd (0.3356, 0.2500, 0.4345)  1 Nd 3.38, 5 Ac 3.51-3.66, 2 Tb 3.71
Nd (0.4646, 0.7500, 0.8131)  1 Nd 3.40, 2 Tb 3.53, 4 Ac 3.56-3.65
Nd (0.5354, 0.2500, 0.1869)  1 Nd 3.40, 2 Tb 3.53, 4 Ac 3.56-3.65
Nd (0.6644, 0.7500, 0.5655)  1 Nd 3.38, 5 Ac 3.51-3.66, 2 Tb 3.71
Nd (0.7086, 0.7500, 0.8007)  2 Nd 3.38-3.40, 1 Ac 3.43
Nd (0.7914, 0.2500, 0.3007)  2 Nd 3.38-3.40, 1 Ac 3.43
Nd (0.8356, 0.2500, 0.0655)  1 Nd 3.38, 5 Ac 3.51-3.66, 2 Tb 3.71
Nd (0.9646, 0.7500, 0.6869)  1 Nd 3.40, 2 Tb 3.53, 4 Ac 3.56-3.65

---

Entry 12:
AcTbNd2 | PBE | optimized geometry

Calculated values
Space-group type = R3m, No. 160
E above lowest polymorph = 0.012 eV/atom

Unit cell a=12.3162 b=12.3162 c=12.3162 alpha=17.49 beta=17.49 gamma=17.49
Closest atoms and distances in Å follow each position.
Fractional positions:
Ac (0.0000, 0.0000, 0.0000)  6 Ac 3.74, 6 Nd 3.83-3.84
Tb (0.1666, 0.1666, 0.1666)  6 Nd 3.61-3.62, 6 Tb 3.74
Nd (0.5797, 0.5797, 0.5797)  3 Tb 3.62, 6 Nd 3.74, 3 Ac 3.83
Nd (0.7540, 0.7540, 0.7540)  3 Tb 3.61, 6 Nd 3.74, 3 Ac 3.84

---

no.,DFT formation energy (eV/atom)
1,0.04
2,0.22
3,0.04
4,0.16
5,0.34
6,0.15
7,0.04
8,0.51
9,0.08
10,0.04
11,0.18
12,0.04